Here is crystalline Er2Ga12Cu at its relaxed geometry from the Alexandria database. Energies are from GGA-PBE.

Structure (POSCAR):
```
Er2Ga12Cu
1.0
6.121 0.000 0.000
0.000 6.121 0.000
0.000 0.000 15.079
Er Ga Cu
4 24 2
Direct
0.250 0.750 0.244
0.250 0.750 0.756
0.750 0.250 0.244
0.750 0.250 0.756
0.000 0.000 0.088
0.000 0.000 0.912
0.000 0.500 0.088
0.000 0.500 0.912
0.085 0.585 0.429
0.085 0.915 0.571
0.250 0.250 0.184
0.250 0.250 0.344
0.250 0.250 0.656
0.250 0.250 0.816
0.415 0.585 0.571
0.415 0.915 0.429
0.500 0.000 0.088
0.500 0.000 0.912
0.500 0.500 0.088
0.500 0.500 0.912
0.585 0.085 0.571
0.585 0.415 0.429
0.750 0.750 0.184
0.750 0.750 0.344
0.750 0.750 0.656
0.750 0.750 0.816
0.915 0.085 0.429
0.915 0.415 0.571
0.250 0.750 0.000
0.750 0.250 0.000
```

***

Here is crystalline Er6GaCu2 at its relaxed geometry from the Alexandria database. Energies are from GGA-PBE.

Structure (POSCAR):
```
Er6GaCu2
1.0
-4.641 4.812 4.981
4.641 -4.812 4.981
4.641 4.812 -4.981
Er Ga Cu
12 2 4
Direct
0.049 0.241 0.808
0.181 0.276 0.457
0.181 0.724 0.905
0.325 0.023 0.698
0.325 0.627 0.302
0.433 0.241 0.192
0.567 0.759 0.808
0.675 0.373 0.698
0.675 0.977 0.302
0.819 0.276 0.095
0.819 0.724 0.543
0.951 0.759 0.192
0.000 0.000 0.000
0.500 0.500 0.000
0.121 0.621 0.500
0.345 0.000 0.345
0.655 0.000 0.655
0.879 0.379 0.500
```

***

Here is crystalline Er6Ga2Cu at its relaxed geometry from the Alexandria database. Energies are from GGA-PBE.

Structure (POSCAR):
```
Er6Ga2Cu
1.0
-2.427 3.461 7.305
2.427 -3.461 7.305
2.427 3.461 -7.305
Er Ga Cu
6 2 1
Direct
0.081 0.336 0.745
0.242 0.000 0.242
0.409 0.664 0.745
0.591 0.336 0.255
0.758 0.000 0.758
0.919 0.664 0.255
0.333 0.833 0.500
0.667 0.167 0.500
0.000 0.500 0.500
```

***

Here is crystalline Er3GaCu2 at its relaxed geometry from the Alexandria database. Energies are from GGA-PBE.

Structure (POSCAR):
```
Er3GaCu2
1.0
3.436 0.000 0.000
0.000 3.436 0.000
0.000 0.000 10.643
Er Ga Cu
3 1 2
Direct
0.000 0.000 0.000
0.000 0.000 0.326
0.000 0.000 0.674
0.500 0.500 0.500
0.500 0.500 0.164
0.500 0.500 0.836
```

***

Here is crystalline ErGa12Cu7 at its relaxed geometry from the Alexandria database. Energies are from GGA-PBE.

Structure (POSCAR):
```
ErGa12Cu7
1.0
-4.522 4.522 4.522
4.522 -4.522 4.522
4.522 4.522 -4.522
Er Ga Cu
1 12 7
Direct
0.000 0.000 0.000
0.115 0.777 0.338
0.223 0.338 0.561
0.223 0.662 0.885
0.338 0.115 0.777
0.338 0.561 0.223
0.439 0.777 0.662
0.561 0.223 0.338
0.662 0.439 0.777
0.662 0.885 0.223
0.777 0.338 0.115
0.777 0.662 0.439
0.885 0.223 0.662
0.000 0.000 0.500
0.000 0.500 0.000
0.000 0.500 0.500
0.500 0.000 0.000
0.500 0.000 0.500
0.500 0.500 0.000
0.500 0.500 0.500
```

***

Here is crystalline Er3Ga2Cu at its relaxed geometry from the Alexandria database. Energies are from GGA-PBE.

Structure (POSCAR):
```
Er3Ga2Cu
1.0
3.407 0.000 0.000
0.000 3.407 0.000
0.000 0.000 11.171
Er Ga Cu
3 2 1
Direct
0.000 0.000 0.000
0.000 0.000 0.345
0.000 0.000 0.655
0.500 0.500 0.174
0.500 0.500 0.826
0.500 0.500 0.500
```

***

| no. | calculated total energy (eV/atom) | M_tot (μB per cell) | energy relative to the elements (eV per formula unit) |
| --- | --- | --- | --- |
| 1 | -3.58 | 0.0 | -4.18 |
| 2 | -4.55 | 0.0 | -2.36 |
| 3 | -4.32 | 0.0 | -1.38 |
| 4 | -4.53 | 0.0 | -2.27 |
| 5 | -3.40 | 0.0 | 1.60 |
| 6 | -4.45 | 0.0 | -2.85 |